Entry A
Computed, not measured: Rb3Br2F after structural relaxation at the PBE-GGA level of DFT.

For the total magnetization, the calculation gives 0.0 μB per formula unit.

The structure belongs to space group Immm (No. 71); the cell edges are 4.509, 6.788 and 14.248 Å and the angles 90.00°, 90.00° and 90.00°. The inequivalent atoms are Rb at (0.000, 0.000, 0.000), Rb at (0.000, 0.000, 0.363), Br at (0.000, 0.500, 0.326) and F at (0.000, 0.500, 0.000).

=====

Entry B
Computed, not measured: Rb3Br2F after structural relaxation at the PBE-GGA level of DFT.

For the total magnetization, the calculation gives 0.0 μB per formula unit.

The structure belongs to space group C2/c (No. 15); the cell edges are 14.871, 6.972 and 8.993 Å and the angles 90.00°, 107.61° and 90.00°. The inequivalent atoms are Rb at (0.000, 0.064, 0.250), Rb at (0.139, 0.499, 0.069), Br at (0.173, 0.001, 0.587) and F at (0.000, 0.457, 0.250).

=====

Which of them is most stable, and which least? Most stable: entry B; least stable: entry A.

=====

Entry A
Computed, not measured: Rb2BrF6 after structural relaxation at the PBE-GGA level of DFT.

For the total magnetization, the calculation gives 1.0 μB per formula unit.

The structure belongs to space group C2/m (No. 12); the cell edges are 11.720, 5.897 and 5.896 Å and the angles 90.00°, 120.16° and 90.00°. The inequivalent atoms are Rb at (0.250, 0.000, 0.250), Br at (0.000, 0.000, 0.500), F at (0.001, 0.229, 0.272) and F at (0.235, 0.000, 0.736).

=====

Entry B
Computed, not measured: Rb2BrF6 after structural relaxation at the PBE-GGA level of DFT.

For the total magnetization, the calculation gives 1.0 μB per formula unit.

The structure belongs to space group C2/m (No. 12); the cell edges are 11.581, 5.884 and 4.871 Å and the angles 90.00°, 90.18° and 90.00°. The inequivalent atoms are Rb at (0.179, 0.000, 0.280), Br at (0.000, 0.500, 0.000), F at (0.066, 0.267, 0.778) and F at (0.188, 0.500, 0.220).

=====

Which of them is most stable, and which least? Most stable: entry B; least stable: entry A.

=====

Entry A
Computed, not measured: Rb4Br3F after structural relaxation at the PBE-GGA level of DFT.

For the total magnetization, the calculation gives 0.1 μB per formula unit.

The structure belongs to space group Cmmm (No. 65); the cell edges are 9.624, 13.435 and 4.731 Å and the angles 90.00°, 90.00° and 90.00°. The inequivalent atoms are Rb at (0.000, 0.229, 0.000), Rb at (0.225, 0.000, 0.500), Br at (0.000, 0.500, 0.000), Br at (0.250, 0.250, 0.500) and F at (0.000, 0.000, 0.000).

=====

Entry B
Computed, not measured: Rb4Br3F after structural relaxation at the PBE-GGA level of DFT.

For the total magnetization, the calculation gives 0.0 μB per formula unit.

The structure belongs to space group P2/c (No. 13); the cell edges are 8.371, 9.614 and 8.087 Å and the angles 90.00°, 109.49° and 90.00°. The inequivalent atoms are Rb at (0.209, 0.104, 0.008), Rb at (0.244, 0.362, 0.488), Br at (0.000, 0.373, 0.750), Br at (0.500, 0.123, 0.750), Br at (0.500, 0.369, 0.250) and F at (0.000, 0.097, 0.250).

=====

Which of them is most stable, and which least? Most stable: entry B; least stable: entry A.

=====

Entry A
Computed, not measured: Rb2BrF2 after structural relaxation at the PBE-GGA level of DFT.

For the total magnetization, the calculation gives 0.3 μB per formula unit.

The structure belongs to space group P4/mbm (No. 127); the cell edges are 8.709, 8.709 and 3.282 Å and the angles 90.00°, 90.00° and 90.00°. The inequivalent atoms are Rb at (0.146, 0.354, 0.000), Br at (0.000, 0.000, 0.000) and F at (0.133, 0.633, 0.500).

=====

Entry B
Computed, not measured: Rb2BrF2 after structural relaxation at the PBE-GGA level of DFT.

For the total magnetization, the calculation gives 1.0 μB per formula unit.

The structure belongs to space group P4/mbm (No. 127); the cell edges are 8.032, 8.032 and 3.746 Å and the angles 90.00°, 90.00° and 90.00°. The inequivalent atoms are Rb at (0.157, 0.343, 0.000), Br at (0.000, 0.000, 0.500) and F at (0.147, 0.647, 0.500).

=====

Which of them is most stable, and which least? Most stable: entry B; least stable: entry A.

=====

Entry A
Computed, not measured: RbZnBrF2 after structural relaxation at the PBE-GGA level of DFT.

For the total magnetization, the calculation gives 0.0 μB per formula unit.

The structure belongs to space group Cmcm (No. 63); the cell edges are 4.072, 13.376 and 7.874 Å and the angles 90.00°, 90.00° and 90.00°. The inequivalent atoms are Rb at (0.000, 0.229, 0.250), Zn at (0.000, 0.500, 0.000), Br at (0.000, 0.034, 0.750) and F at (0.000, 0.362, 0.541).

=====

Entry B
Computed, not measured: RbZnBrF2 after structural relaxation at the PBE-GGA level of DFT.

For the total magnetization, the calculation gives 0.0 μB per formula unit.

The structure belongs to space group P4/mmm (No. 123); the cell edges are 4.438, 4.438 and 5.051 Å and the angles 90.00°, 90.00° and 90.00°. The inequivalent atoms are Rb at (0.000, 0.000, 0.000), Zn at (0.500, 0.500, 0.500), Br at (0.500, 0.500, 0.000) and F at (0.000, 0.500, 0.500).

=====

Entry C
Computed, not measured: RbZnBrF2 after structural relaxation at the PBE-GGA level of DFT.

For the total magnetization, the calculation gives 0.0 μB per formula unit.

The structure belongs to space group P4/mmm (No. 123); the cell edges are 4.623, 4.623 and 7.809 Å and the angles 90.00°, 90.00° and 90.00°. The inequivalent atoms are Rb at (0.000, 0.000, 0.000), Zn at (0.000, 0.000, 0.500), Br at (0.500, 0.500, 0.500) and F at (0.000, 0.500, 0.000).

=====

Which of them is most stable, and which least? Most stable: entry A; least stable: entry C.

=====

Entry A
Computed, not measured: ReBr2F after structural relaxation at the PBE-GGA level of DFT.

For the total magnetization, the calculation gives 0.0 μB per formula unit.

The structure belongs to space group Fm-3m (No. 225); the cell edges are 6.266, 6.266 and 6.266 Å and the angles 90.00°, 90.00° and 90.00°. The inequivalent atoms are Re at (0.000, 0.000, 0.000), Br at (0.250, 0.250, 0.250) and F at (0.000, 0.000, 0.500).

=====

Entry B
Computed, not measured: ReBr2F after structural relaxation at the PBE-GGA level of DFT.

For the total magnetization, the calculation gives 0.0 μB per formula unit.

The structure belongs to space group R-3m (No. 166, hexagonal axes); the cell edges are 3.2913, 3.2913 and 24.7199 Å and the angles 90.00°, 90.00° and 120.00°. The inequivalent atoms are Re at (0.0000, 0.0000, 0.0000), Br at (0.0000, 0.0000, 0.4063) and F at (0.0000, 0.0000, 0.5000).

=====

Which of them is most stable, and which least? Most stable: entry B; least stable: entry A.

=====

Entry A
Computed, not measured: ReBr3F after structural relaxation at the PBE-GGA level of DFT.

For the total magnetization, the calculation gives 5.2 μB per formula unit.

The structure belongs to space group Pm-3m (No. 221); the cell edges are 4.947, 4.947 and 4.947 Å and the angles 90.00°, 90.00° and 90.00°. The inequivalent atoms are Re at (0.000, 0.000, 0.000), Br at (0.000, 0.500, 0.500) and F at (0.500, 0.500, 0.500).

=====

Entry B
Computed, not measured: ReBr3F after structural relaxation at the PBE-GGA level of DFT.

For the total magnetization, the calculation gives 0.0 μB per formula unit.

The structure belongs to space group P2/c (No. 13); the cell edges are 6.568, 10.016 and 11.774 Å and the angles 90.00°, 108.53° and 90.00°. The inequivalent atoms are Re at (0.062, 0.248, 0.165), Br at (0.066, 0.215, 0.950), Br at (0.197, 0.468, 0.173), Br at (0.325, 0.250, 0.437) and F at (0.215, 0.087, 0.201).

=====

Which of them is most stable, and which least? Most stable: entry B; least stable: entry A.

=====

Entry A
Computed, not measured: ReBrF2 after structural relaxation at the PBE-GGA level of DFT.

For the total magnetization, the calculation gives 4.0 μB per formula unit.

The structure belongs to space group Fm-3m (No. 225); the cell edges are 6.160, 6.160 and 6.160 Å and the angles 90.00°, 90.00° and 90.00°. The inequivalent atoms are Re at (0.000, 0.000, 0.000), Br at (0.000, 0.000, 0.500) and F at (0.250, 0.250, 0.250).

=====

Entry B
Computed, not measured: ReBrF2 after structural relaxation at the PBE-GGA level of DFT.

For the total magnetization, the calculation gives 0.4 μB per formula unit.

The structure belongs to space group R-3m (No. 166, hexagonal axes); the cell edges are 2.8548, 2.8548 and 32.0402 Å and the angles 90.00°, 90.00° and 120.00°. The inequivalent atoms are Re at (0.0000, 0.0000, 0.0000), Br at (0.0000, 0.0000, 0.5000) and F at (0.0000, 0.0000, 0.0583).

=====

Entry C
Computed, not measured: ReBrF2 after structural relaxation at the PBE-GGA level of DFT.

For the total magnetization, the calculation gives 4.0 μB per formula unit.

The structure belongs to space group I4_1/amd (No. 141, origin choice 2); the cell edges are 4.750, 4.750 and 13.599 Å and the angles 90.00°, 90.00° and 90.00°. The inequivalent atoms are Re at (0.000, 0.250, 0.375), Br at (0.000, 0.250, 0.875) and F at (0.000, 0.000, 0.500).

=====

Which of them is most stable, and which least? Most stable: entry B; least stable: entry A.